Entry 1:
## TiCu2HBr (PBE)

Data for a geometry-optimized TiCu2HBr structure.

The structure in POSCAR format:
```
TiCu2HBr
1.0
-1.988 3.707 -2.042
-4.436 -1.907 0.857
-0.146 2.194 4.126
Br Cu H Ti
1 2 1 1
Cartesian
0.000 0.000 0.000
-0.994 1.853 -1.021
-0.073 1.097 2.063
-3.285 1.997 1.470
-2.218 -0.953 0.428
```

Output
magnetic moment	2.31	Bohr magnetons per cell

=====

Entry 2:
## La2Zn2Pd5 (PBE)

Data for a geometry-optimized La2Zn2Pd5 structure.

The structure in POSCAR format:
```
La2Zn2Pd5
1.0
-3.340 -2.431 1.109
1.293 -3.025 -2.734
5.177 -3.986 6.858
Pd La Zn
5 2 2
Cartesian
4.395 -4.398 3.599
2.079 -4.101 5.520
1.565 -4.721 2.617
2.075 -2.612 0.525
-0.242 -2.315 2.447
0.000 0.000 0.000
2.589 -1.993 3.429
-0.339 -3.255 0.094
3.469 -6.186 5.139
```

Output
ΔH_f (0 K)	-692	meV per atom
magnetic moment	0.00	Bohr magnetons per cell

=====

Entry 3:
## YAgSn (PBE)

Data for a geometry-optimized YAgSn structure.

The structure in POSCAR format:
```
YAgSn
1.0
-0.099 -3.795 2.367
5.205 2.625 4.424
-3.143 1.743 2.664
Ag Sn Y
2 2 2
Cartesian
0.278 -1.265 4.389
-1.244 1.503 4.537
0.048 0.282 6.861
-1.013 -0.044 2.066
-2.927 -1.217 4.332
1.962 1.455 4.594
```

Output
ΔH_f (0 K)	-572	meV per atom
magnetic moment	0.00	Bohr magnetons per cell

=====

Number 1: VASP energy -14.7 eV per cell. Number 2: VASP energy -44.6 eV per cell. Number 3: VASP energy -30.1 eV per cell.